This record from the Alexandria database describes Cs3Pr3NpS8 after structural relaxation. The functional is GGA-PBE.

Output
The formation energy without anion corrections comes out at -1710.9 meV/atom. Its space-group type is R-3m (166). For the total DFT energy (no corrections), the calculation gives -5.90 eV per atom.

Cell: 9.553 9.553 9.553 Å, 52.35 52.35 52.35°
Atoms (fractional coordinates):
Cs 0.000 0.500 0.500
Cs 0.500 0.000 0.500
Cs 0.500 0.500 0.000
Pr 0.000 0.000 0.500
Pr 0.000 0.500 0.000
Pr 0.500 0.000 0.000
Np 0.500 0.500 0.500
S 0.229 0.229 0.229
S 0.243 0.717 0.717
S 0.283 0.283 0.757
S 0.283 0.757 0.283
S 0.717 0.243 0.717
S 0.717 0.717 0.243
S 0.757 0.283 0.283
S 0.771 0.771 0.771